Entry 1:
Density functional theory data (PBEsol) for a relaxed NaCu3Se crystal.

a b c (Å): 4.474 4.474 4.474
angles (deg): 90.00 90.00 90.00
Atoms (fractional coordinates):
1 Na 0.000 0.000 0.000
2 Cu 0.000 0.500 0.000
3 Cu 0.000 0.000 0.500
4 Cu 0.500 0.000 0.000
5 Se 0.500 0.500 0.500

Summary:
Crystal system = cubic
Size of the total moment = 0.00 μB per cell
Uncorrected formation energy = 1.2906 eV/atom


Entry 2:
Density functional theory data (PBEsol) for a relaxed NaCuSe crystal.

a b c (Å): 4.015 4.015 6.804
angles (deg): 90.00 90.00 90.00
Atoms (fractional coordinates):
1 Na 0.500 0.000 0.161
2 Na 0.000 0.500 0.839
3 Cu 0.000 0.000 0.500
4 Cu 0.500 0.500 0.500
5 Se 0.500 0.000 0.721
6 Se 0.000 0.500 0.279

Summary:
Crystal system = tetragonal
Size of the total moment = 0.00 μB per cell
Uncorrected formation energy = -0.5871 eV/atom


Entry 3:
Density functional theory data (PBEsol) for a relaxed NaCu2Se2 crystal.

a b c (Å): 3.787 3.787 7.073
angles (deg): 105.53 105.53 90.00
Atoms (fractional coordinates):
1 Na 0.000 0.000 0.000
2 Cu 0.250 0.750 0.500
3 Cu 0.750 0.250 0.500
4 Se 0.367 0.367 0.734
5 Se 0.633 0.633 0.266

Summary:
Crystal system = tetragonal
Size of the total moment = 0.00 μB per cell
Uncorrected formation energy = -0.4425 eV/atom


What did the third record say?
Density functional theory data (PBEsol) for a relaxed NaCu2Se2 crystal.

a b c (Å): 3.787 3.787 7.073
angles (deg): 105.53 105.53 90.00
Atoms (fractional coordinates):
1 Na 0.000 0.000 0.000
2 Cu 0.250 0.750 0.500
3 Cu 0.750 0.250 0.500
4 Se 0.367 0.367 0.734
5 Se 0.633 0.633 0.266

Summary:
Crystal system = tetragonal
Size of the total moment = 0.00 μB per cell
Uncorrected formation energy = -0.4425 eV/atom